(1)
Density functional theory data (GGA-PBEsol) for a geometry-optimized Li3HfTc structure.

```
data_Li3HfTc
_chemical_formula_sum 'Li3 Hf1 Tc1'
_symmetry_space_group_name_H-M 'P m -3 m'
_symmetry_Int_Tables_number 221
_symmetry_space_group_name_Hall '-P 4 2 3'
_cell_length_a 4.615
_cell_length_b 4.615
_cell_length_c 4.615
_cell_angle_alpha 90.00
_cell_angle_beta 90.00
_cell_angle_gamma 90.00
loop_
_atom_site_label
_atom_site_type_symbol
_atom_site_fract_x
_atom_site_fract_y
_atom_site_fract_z
_atom_site_occupancy
Li1 Li 0.000 0.000 0.500 1
Hf1 Hf 0.000 0.000 0.000 1
Tc1 Tc 0.500 0.500 0.500 1
```

(2)
Density functional theory data (GGA-PBEsol) for a geometry-optimized LiHf2Tc structure.

Values from the calculation:
For the energy above the lowest structure with this stoichiometry, the calculation gives 0 meV per atom.

```
data_LiHf2Tc
_chemical_formula_sum 'Li4 Hf8 Tc4'
_symmetry_space_group_name_H-M 'F m -3 m'
_symmetry_Int_Tables_number 225
_symmetry_space_group_name_Hall '-F 4 2 3'
_cell_length_a 6.476
_cell_length_b 6.476
_cell_length_c 6.476
_cell_angle_alpha 90.00
_cell_angle_beta 90.00
_cell_angle_gamma 90.00
loop_
_atom_site_label
_atom_site_type_symbol
_atom_site_fract_x
_atom_site_fract_y
_atom_site_fract_z
_atom_site_occupancy
Li1 Li 0.000 0.000 0.000 1
Hf1 Hf 0.250 0.250 0.250 1
Tc1 Tc 0.000 0.000 0.500 1
```

Calculated electronic total energy (eV/atom), listed in the same order as above: -3.456, -8.756
Calculated calculated formation energy (eV per atom), listed in the same order as above: 2.078, -0.196